{"formula": "LaCe5S6", "functional": "GGA-PBE", "state": "optimized geometry", "cell": [[3.503, -6.067, 0.000], [3.503, 6.067, 0.000], [-2.337, 0.000, 6.607]], "species": ["La", "Ce", "Ce", "Ce", "Ce", "Ce", "S", "S", "S", "S", "S", "S"], "fractional_positions": [[0.000, 0.000, 0.000], [0.165, 0.835, 0.500], [0.333, 0.667, 0.000], [0.500, 0.500, 0.500], [0.667, 0.333, 0.000], [0.835, 0.165, 0.500], [0.084, 0.422, 0.253], [0.254, 0.254, 0.748], [0.422, 0.084, 0.253], [0.578, 0.916, 0.747], [0.746, 0.746, 0.252], [0.916, 0.578, 0.747]], "spacegroup": "No. 12", "dos_ef_per_ev_fu": 24.565, "e_tot_ev_per_atom": -7.006}

{"formula": "LaCeS", "functional": "GGA-PBE", "state": "optimized geometry", "cell": [[4.294, -5.369, 0.000], [4.294, 5.369, 0.000], [0.000, 0.000, 7.529]], "species": ["La", "La", "La", "La", "Ce", "Ce", "Ce", "Ce", "S", "S", "S", "S"], "fractional_positions": [[0.211, 0.211, 0.000], [0.289, 0.289, 0.500], [0.711, 0.711, 0.500], [0.789, 0.789, 0.000], [0.199, 0.801, 0.656], [0.301, 0.699, 0.156], [0.699, 0.301, 0.844], [0.801, 0.199, 0.344], [0.064, 0.936, 0.295], [0.436, 0.564, 0.795], [0.564, 0.436, 0.205], [0.936, 0.064, 0.705]], "spacegroup": "No. 64", "dos_ef_per_ev_fu": 7.823, "e_tot_ev_per_atom": -6.108}

{"formula": "La5CeS6", "functional": "GGA-PBE", "state": "optimized geometry", "cell": [[3.582, -6.210, 0.000], [3.582, 6.210, 0.000], [-2.402, 0.000, 6.754]], "species": ["La", "La", "La", "La", "La", "Ce", "S", "S", "S", "S", "S", "S"], "fractional_positions": [[0.000, 0.000, 0.000], [0.167, 0.833, 0.500], [0.331, 0.669, 0.000], [0.669, 0.331, 0.000], [0.833, 0.167, 0.500], [0.500, 0.500, 0.500], [0.089, 0.418, 0.254], [0.254, 0.254, 0.749], [0.418, 0.089, 0.254], [0.582, 0.911, 0.746], [0.746, 0.746, 0.251], [0.911, 0.582, 0.746]], "spacegroup": "No. 12", "dos_ef_per_ev_fu": 10.681, "e_tot_ev_per_atom": -6.756}

Copy entry 3 word for word.
{"formula": "La5CeS6", "functional": "GGA-PBE", "state": "optimized geometry", "cell": [[3.582, -6.210, 0.000], [3.582, 6.210, 0.000], [-2.402, 0.000, 6.754]], "species": ["La", "La", "La", "La", "La", "Ce", "S", "S", "S", "S", "S", "S"], "fractional_positions": [[0.000, 0.000, 0.000], [0.167, 0.833, 0.500], [0.331, 0.669, 0.000], [0.669, 0.331, 0.000], [0.833, 0.167, 0.500], [0.500, 0.500, 0.500], [0.089, 0.418, 0.254], [0.254, 0.254, 0.749], [0.418, 0.089, 0.254], [0.582, 0.911, 0.746], [0.746, 0.746, 0.251], [0.911, 0.582, 0.746]], "spacegroup": "No. 12", "dos_ef_per_ev_fu": 10.681, "e_tot_ev_per_atom": -6.756}

- Number 2 is which compound?
  LaCeS